! MgNb2H, PBEsol geometry, DFT SCAN; values from VASP
! Crystal system: cubic
! Space-group type: Fm-3m, No. 225
! E above lowest polymorph: 0.687 eV/atom
&SYSTEM
  ibrav = 0, nat = 4, ntyp = 3
/
ATOMIC_SPECIES
Mg 24.30 Mg.upf
Nb 92.91 Nb.upf
H 1.01 H.upf
CELL_PARAMETERS angstrom
0.000 3.110 3.110
3.110 0.000 3.110
3.110 3.110 0.000
ATOMIC_POSITIONS angstrom
Mg 0.000 0.000 0.000
Nb 1.555 1.555 1.555
Nb 4.664 4.664 4.664
H 3.110 3.110 3.110